This record from Alexandria describes TiZnCl2 at its PBEsol-relaxed geometry. The functional is SCAN.

a = 3.1027 Å, b = 3.1027 Å, c = 9.6174 Å
α = 80.72°, β = 80.72°, γ = 60.00°
Last column: nearest neighbours and their distance in Å.
Atoms (fractional coordinates):
Zn 0.0000 0.0000 0.0000  2 Cl 3.08, 6 Zn 3.10
Ti 0.5000 0.5000 0.5000  6 Cl 2.43
Cl 0.1086 0.1086 0.6743  3 Ti 2.43
Cl 0.8914 0.8914 0.3257  3 Ti 2.43

Properties
electronic total energy	-12.2981	eV/atom
SG	R-3m, No. 166
total magnetization	0.00	μB per formula unit
formation energy (no corrections)	-0.92	eV per atom